Dy12GaPd6 after structural relaxation, computed with PBE.

Geometry as POSCAR:
```
Dy12GaPd6
1.0
8.363 -0.269 -0.322
-1.534 8.226 -0.322
-1.534 -1.787 8.036
Dy Ga Pd
12 1 6
Direct
0.829 0.590 0.437
0.437 0.829 0.590
0.590 0.437 0.829
0.171 0.410 0.563
0.563 0.171 0.410
0.410 0.563 0.171
0.077 0.939 0.326
0.061 0.674 0.923
0.674 0.923 0.061
0.923 0.061 0.674
0.939 0.326 0.077
0.326 0.077 0.939
0.000 0.000 0.000
0.679 0.859 0.380
0.620 0.321 0.141
0.141 0.620 0.321
0.321 0.141 0.620
0.380 0.679 0.859
0.859 0.380 0.679
```

Electronic total energy in Ha/atom: -0.19031
Density of states at the Fermi level in states/eV per atom: 1.0207
ΔE_f in eV per atom: -0.47